[1]
# GGA-PBE Li3Ag5I12, relaxed
data_Li3Ag5I12
_chemical_formula_sum 'Li24 Ag40 I96'
_cell_length_a 18.414
_cell_length_b 18.414
_cell_length_c 18.414
_cell_angle_alpha 90.00
_cell_angle_beta 90.00
_cell_angle_gamma 90.00
_space_group_name_H-M_alt 'I a -3 d'
_space_group_IT_number 230
_space_group_name_Hall '-I 4bd 2c 3'
loop_
_atom_site_label
_atom_site_type_symbol
_atom_site_fract_x
_atom_site_fract_y
_atom_site_fract_z
Li1 Li 0.000 0.250 0.125
Ag1 Ag 0.000 0.000 0.000
Ag2 Ag 0.000 0.250 0.375
I1 I 0.001 0.011 0.657
# Total moment: 0.00 μB/cell
# V: 6243.54 Å³ per cell
# Formation energy (no corrections): -379.5 meV per atom
# Electronic total energy: -2.309 eV per atom

[2]
# GGA-PBE LiInPb, relaxed
data_LiInPb
_chemical_formula_sum 'Li2 In2 Pb2'
_cell_length_a 3.554
_cell_length_b 5.326
_cell_length_c 8.038
_cell_angle_alpha 90.00
_cell_angle_beta 90.00
_cell_angle_gamma 90.00
_space_group_name_H-M_alt 'P m m 2'
_space_group_IT_number 25
loop_
_space_group_symop_operation_xyz
'x,y,z'
'-x,-y,z'
'-x,y,z'
'x,-y,z'
loop_
_atom_site_label
_atom_site_type_symbol
_atom_site_fract_x
_atom_site_fract_y
_atom_site_fract_z
Li1 Li 0.000 0.000 0.000
Li2 Li 0.500 0.500 0.114
In1 In 0.500 0.000 0.295
In2 In 0.500 0.000 0.675
Pb1 Pb 0.000 0.500 0.426
Pb2 Pb 0.000 0.500 0.819
# Total moment: 0.00 μB/cell
# V: 152.15 Å³ per cell
# Electronic total energy: -2.900 eV per atom
# Formation energy from the elements: -0.113 eV/atom

[3]
# GGA-PBE BaTePt2, relaxed
data_BaTePt2
_chemical_formula_sum 'Ba3 Te3 Pt6'
_cell_length_a 4.7313
_cell_length_b 4.7313
_cell_length_c 16.6080
_cell_angle_alpha 90.00
_cell_angle_beta 90.00
_cell_angle_gamma 120.00
_space_group_name_H-M_alt 'R -3 m'
_space_group_IT_number 166
_space_group_name_Hall '-R 3 2"'
loop_
_atom_site_label
_atom_site_type_symbol
_atom_site_fract_x
_atom_site_fract_y
_atom_site_fract_z
Ba1 Ba 0.0000 0.0000 0.0000
Te1 Te 0.0000 0.0000 0.5000
Pt1 Pt 0.0000 0.0000 0.1965
# Total moment: 0.00 μB/cell
# V: 322.00 Å³ per cell
# Formation energy (no corrections): -639.3 meV per atom
# Electronic total energy: -4.926 eV per atom

[4]
# GGA-PBE Hf5ScTc6, relaxed
data_Hf5ScTc6
_chemical_formula_sum 'Hf10 Sc2 Tc12'
_cell_length_a 14.551
_cell_length_b 6.512
_cell_length_c 4.624
_cell_angle_alpha 90.00
_cell_angle_beta 108.37
_cell_angle_gamma 90.00
_space_group_name_H-M_alt 'C 1 2/m 1'
_space_group_IT_number 12
loop_
_space_group_symop_operation_xyz
'x,y,z'
'-x,-y,-z'
'-x,y,-z'
'x,-y,z'
'x+1/2,y+1/2,z'
'-x+1/2,-y+1/2,-z'
'-x+1/2,y+1/2,-z'
'x+1/2,-y+1/2,z'
loop_
_atom_site_label
_atom_site_type_symbol
_atom_site_fract_x
_atom_site_fract_y
_atom_site_fract_z
Hf1 Hf 0.000 0.000 0.000
Hf2 Hf 0.165 0.500 0.665
Hf3 Hf 0.167 0.000 0.667
Sc1 Sc 0.000 0.500 0.000
Tc1 Tc 0.000 0.246 0.500
Tc2 Tc 0.168 0.248 0.168
# Total moment: 0.00 μB/cell
# V: 415.81 Å³ per cell
# Electronic total energy: -10.264 eV per atom
# Formation energy from the elements: -0.407 eV/atom

[5]
# GGA-PBE LaCe3Ni8, relaxed
data_LaCe3Ni8
_chemical_formula_sum 'La3 Ce9 Ni24'
_cell_length_a 5.1153
_cell_length_b 5.1153
_cell_length_c 25.0586
_cell_angle_alpha 90.00
_cell_angle_beta 90.00
_cell_angle_gamma 120.00
_space_group_name_H-M_alt 'R 3 m'
_space_group_IT_number 160
_space_group_name_Hall 'R 3 -2"'
loop_
_atom_site_label
_atom_site_type_symbol
_atom_site_fract_x
_atom_site_fract_y
_atom_site_fract_z
La1 La 0.0000 0.0000 0.0000
Ce1 Ce 0.0000 0.0000 0.3798
Ce2 Ce 0.0000 0.0000 0.5028
Ce3 Ce 0.0000 0.0000 0.8738
Ni1 Ni 0.0000 0.0000 0.1887
Ni2 Ni 0.0000 0.0000 0.6891
Ni3 Ni 0.0009 0.5005 0.4395
Ni4 Ni 0.0010 0.5005 0.9378
# Total moment: 1.70 μB/cell
# V: 567.84 Å³ per cell
# Electronic total energy: -6.102 eV per atom
# Distance to the lowest polymorph of the same formula: 0.000 eV/f.u.
# Formation energy from the elements: -0.353 eV/atom

[6]
# GGA-PBE Cd3O, relaxed
data_Cd3O
_chemical_formula_sum 'Cd3 O1'
_cell_length_a 4.545
_cell_length_b 4.545
_cell_length_c 4.355
_cell_angle_alpha 90.00
_cell_angle_beta 90.00
_cell_angle_gamma 90.00
_space_group_name_H-M_alt 'P 4 m m'
_space_group_IT_number 99
loop_
_space_group_symop_operation_xyz
'x,y,z'
'-y,x,z'
'-x,-y,z'
'y,-x,z'
'-x,y,z'
'y,x,z'
'x,-y,z'
'-y,-x,z'
loop_
_atom_site_label
_atom_site_type_symbol
_atom_site_fract_x
_atom_site_fract_y
_atom_site_fract_z
Cd1 Cd 0.000 0.000 0.000
Cd2 Cd 0.000 0.500 0.500
O1 O 0.500 0.500 0.502
# Total moment: 0.00 μB/cell
# V: 89.96 Å³ per cell
# Formation energy (no corrections): -160.2 meV per atom
# Electronic total energy: -2.086 eV per atom
# Distance to the lowest polymorph of the same formula: 0.693 eV/f.u.

[7]
# GGA-PBE CePm2Y5Tm, relaxed
data_CePm2Y5Tm
_chemical_formula_sum 'Ce4 Pm8 Y20 Tm4'
_cell_length_a 8.580
_cell_length_b 8.580
_cell_length_c 15.736
_cell_angle_alpha 90.00
_cell_angle_beta 90.00
_cell_angle_gamma 90.00
_space_group_name_H-M_alt 'I 4/m c m'
_space_group_IT_number 140
_space_group_name_Hall '-I 4 2c'
loop_
_atom_site_label
_atom_site_type_symbol
_atom_site_fract_x
_atom_site_fract_y
_atom_site_fract_z
Ce1 Ce 0.000 0.500 0.250
Pm1 Pm 0.120 0.380 0.000
Y1 Y 0.000 0.000 0.000
Y2 Y 0.203 0.297 0.359
Tm1 Tm 0.000 0.000 0.250
# Total moment: 3.98 μB/cell
# V: 1158.30 Å³ per cell
# Electronic total energy: -5.539 eV per atom
# Formation energy from the elements: 0.264 eV/atom

[8]
# GGA-PBE SnBi2Ru, relaxed
data_SnBi2Ru
_chemical_formula_sum 'Sn4 Bi8 Ru4'
_cell_length_a 6.551
_cell_length_b 6.551
_cell_length_c 12.914
_cell_angle_alpha 90.00
_cell_angle_beta 90.00
_cell_angle_gamma 90.00
_space_group_name_H-M_alt 'I -4 2 d'
_space_group_IT_number 122
_space_group_name_Hall 'I -4 2bw'
loop_
_atom_site_label
_atom_site_type_symbol
_atom_site_fract_x
_atom_site_fract_y
_atom_site_fract_z
Sn1 Sn 0.000 0.000 0.000
Bi1 Bi 0.196 0.250 0.625
Ru1 Ru 0.000 0.000 0.500
# Total moment: 0.00 μB/cell
# V: 554.22 Å³ per cell
# Electronic total energy: -4.763 eV per atom
# Formation energy from the elements: 0.497 eV/atom

[9]
# GGA-PBE Nd3SmY6Th2, relaxed
data_Nd3SmY6Th2
_chemical_formula_sum 'Nd6 Sm2 Y12 Th4'
_cell_length_a 6.260
_cell_length_b 10.838
_cell_length_c 11.846
_cell_angle_alpha 90.00
_cell_angle_beta 100.16
_cell_angle_gamma 90.00
_space_group_name_H-M_alt 'C 1 2/m 1'
_space_group_IT_number 12
loop_
_space_group_symop_operation_xyz
'x,y,z'
'-x,-y,-z'
'-x,y,-z'
'x,-y,z'
'x+1/2,y+1/2,z'
'-x+1/2,-y+1/2,-z'
'-x+1/2,y+1/2,-z'
'x+1/2,-y+1/2,z'
loop_
_atom_site_label
_atom_site_type_symbol
_atom_site_fract_x
_atom_site_fract_y
_atom_site_fract_z
Nd1 Nd 0.000 0.000 0.000
Nd2 Nd 0.000 0.334 0.000
Sm1 Sm 0.000 0.500 0.500
Y1 Y 0.244 0.000 0.745
Y2 Y 0.249 0.169 0.255
Th1 Th 0.000 0.167 0.500
# Total moment: 0.00 μB/cell
# V: 790.98 Å³ per cell
# Electronic total energy: -6.033 eV per atom
# Formation energy from the elements: 0.021 eV/atom

[10]
# GGA-PBE CrReSN2, relaxed
data_CrReSN2
_chemical_formula_sum 'Cr1 Re1 S1 N2'
_cell_length_a 3.646
_cell_length_b 3.646
_cell_length_c 4.836
_cell_angle_alpha 90.00
_cell_angle_beta 90.00
_cell_angle_gamma 90.00
_space_group_name_H-M_alt 'P 4/m m m'
_space_group_IT_number 123
_space_group_name_Hall '-P 4 2'
loop_
_atom_site_label
_atom_site_type_symbol
_atom_site_fract_x
_atom_site_fract_y
_atom_site_fract_z
Cr1 Cr 0.000 0.000 0.000
Re1 Re 0.500 0.500 0.500
S1 S 0.000 0.000 0.500
N1 N 0.000 0.500 0.000
# Total moment: 3.12 μB/cell
# V: 64.30 Å³ per cell
# Formation energy (no corrections): 1079.0 meV per atom
# Electronic total energy: -7.491 eV per atom
# Distance to the lowest polymorph of the same formula: 3.148 eV/f.u.

[11]
# GGA-PBE Tb4NdTh3S8, relaxed
data_Tb4NdTh3S8
_chemical_formula_sum 'Tb12 Nd3 Th9 S24'
_cell_length_a 7.8881
_cell_length_b 7.8881
_cell_length_c 19.9507
_cell_angle_alpha 90.00
_cell_angle_beta 90.00
_cell_angle_gamma 120.00
_space_group_name_H-M_alt 'R -3 m'
_space_group_IT_number 166
_space_group_name_Hall '-R 3 2"'
loop_
_atom_site_label
_atom_site_type_symbol
_atom_site_fract_x
_atom_site_fract_y
_atom_site_fract_z
Tb1 Tb 0.0000 0.0000 0.0000
Tb2 Tb 0.0000 0.5000 0.0000
Nd1 Nd 0.0000 0.0000 0.5000
Th1 Th 0.0000 0.5000 0.5000
S1 S 0.0000 0.0000 0.2544
S2 S 0.9996 0.4998 0.2543
# Total moment: 0.00 μB/cell
# V: 1075.08 Å³ per cell
# Formation energy (no corrections): -1943.1 meV per atom
# Electronic total energy: -6.854 eV per atom

Q: Among the records above, which one has the highest electronic total energy?
A: Cd3O